Run 1
{
  "formula": "BeFeS2Cl",
  "functional": "GGA-PBE",
  "state": "relaxed",
  "density_g_cm3": 2.9,
  "vol_a3_per_cell": 94,
  "lattice": [[4.449, 0.000, 0.000], [0.000, 4.449, 0.000], [0.000, 0.000, 4.760]],
  "species": ["Be", "S", "S", "Fe", "Cl"],
  "fractional_positions": [[0.500, 0.500, 0.500], [0.000, 0.500, 0.000], [0.500, 0.000, 0.000], [0.000, 0.000, 0.000], [0.000, 0.000, 0.500]]
}

=====

Run 2
{
  "formula": "BeFeS2Cl",
  "functional": "GGA-PBE",
  "state": "relaxed",
  "density_g_cm3": 3.2,
  "vol_a3_per_cell": 84,
  "lattice": [[-1.283, 3.299, -2.521], [-0.040, -2.648, -3.446], [-4.262, -1.021, 0.833]],
  "species": ["Be", "S", "S", "Fe", "Cl"],
  "fractional_positions": [[0.000, 0.000, 0.000], [0.000, 0.500, 0.000], [0.500, 0.000, 0.000], [0.500, 0.500, 0.500], [0.000, 0.000, 0.500]]
}

=====

Relative energies in meV per atom: run 1 193; run 2 0

=====

Run 1
{
  "formula": "BeGa3Cl",
  "functional": "GGA-PBE",
  "state": "relaxed",
  "density_g_cm3": 2.9,
  "vol_a3_per_cell": 146,
  "lattice": [[-3.416, 3.581, 1.813], [-1.373, -3.279, 3.891], [3.772, 2.050, 3.058]],
  "species": ["Be", "Ga", "Ga", "Ga", "Cl"],
  "fractional_positions": [[0.500, 0.500, 0.500], [0.000, 0.500, 0.000], [0.000, 0.000, 0.500], [0.500, 0.000, 0.000], [0.000, 0.000, 0.000]]
}

=====

Run 2
{
  "formula": "BeGa3Cl",
  "functional": "GGA-PBE",
  "state": "relaxed",
  "density_g_cm3": 4.2,
  "vol_a3_per_cell": 100,
  "lattice": [[-3.284, 1.866, -2.694], [1.254, -2.807, -3.474], [-3.028, -3.187, 1.482]],
  "species": ["Be", "Ga", "Ga", "Ga", "Cl"],
  "fractional_positions": [[0.000, 0.000, 0.000], [0.000, 0.500, 0.000], [0.000, 0.000, 0.500], [0.500, 0.000, 0.000], [0.500, 0.500, 0.500]]
}

=====

Relative energies in meV per atom: run 1 783; run 2 0

=====

Run 1
{
  "formula": "Be2GaCl",
  "functional": "GGA-PBE",
  "state": "relaxed",
  "density_g_cm3": 3.3,
  "vol_a3_per_cell": 62,
  "lattice": [[0.000, 3.148, 3.148], [3.148, 0.000, 3.148], [3.148, 3.148, 0.000]],
  "species": ["Be", "Be", "Ga", "Cl"],
  "fractional_positions": [[0.250, 0.250, 0.250], [0.750, 0.750, 0.750], [0.500, 0.500, 0.500], [0.000, 0.000, 0.000]]
}

=====

Run 2
{
  "formula": "Be2GaCl",
  "functional": "GGA-PBE",
  "state": "relaxed",
  "density_g_cm3": 3.0,
  "vol_a3_per_cell": 138,
  "lattice": [[5.454, 0.000, 0.000], [0.000, 5.454, 0.000], [2.727, 2.727, 4.635]],
  "species": ["Be", "Be", "Be", "Be", "Ga", "Ga", "Cl", "Cl"],
  "fractional_positions": [[0.612, 0.125, 0.250], [0.138, 0.625, 0.250], [0.375, 0.388, 0.750], [0.875, 0.862, 0.750], [0.000, 0.000, 0.000], [0.750, 0.250, 0.500], [0.500, 0.500, 0.000], [0.250, 0.750, 0.500]]
}

=====

Relative energies in meV per atom: run 1 602; run 2 0

=====

Run 1
{
  "formula": "Be2Ga2Cl",
  "functional": "GGA-PBE",
  "state": "relaxed",
  "density_g_cm3": 4.2,
  "vol_a3_per_cell": 153,
  "lattice": [[-7.213, -0.267, 0.070], [0.273, -7.171, 0.779], [0.017, 0.317, 2.917]],
  "species": ["Be", "Be", "Be", "Be", "Ga", "Ga", "Ga", "Ga", "Cl", "Cl"],
  "fractional_positions": [[0.395, 0.895, 0.000], [0.895, 0.605, 0.000], [0.605, 0.105, 0.000], [0.105, 0.395, 0.000], [0.193, 0.693, 0.500], [0.693, 0.807, 0.500], [0.807, 0.307, 0.500], [0.307, 0.193, 0.500], [0.000, 0.000, 0.000], [0.500, 0.500, 0.000]]
}

=====

Run 2
{
  "formula": "Be2Ga2Cl",
  "functional": "GGA-PBE",
  "state": "relaxed",
  "density_g_cm3": 3.8,
  "vol_a3_per_cell": 85,
  "lattice": [[4.155, 0.000, 0.000], [0.000, 4.155, 0.000], [2.077, 2.077, 4.945]],
  "species": ["Be", "Be", "Ga", "Ga", "Cl"],
  "fractional_positions": [[0.389, 0.389, 0.222], [0.611, 0.611, 0.778], [0.750, 0.250, 0.500], [0.250, 0.750, 0.500], [0.000, 0.000, 0.000]]
}

=====

Relative energies in meV per atom: run 1 0; run 2 201

=====

Run 1
{
  "formula": "BeGaCl2",
  "functional": "GGA-PBE",
  "state": "relaxed",
  "density_g_cm3": 2.2,
  "vol_a3_per_cell": 114,
  "lattice": [[5.998, -0.379, 8.372], [6.124, -3.845, 7.343], [8.365, -1.431, 5.847]],
  "species": ["Be", "Ga", "Cl", "Cl"],
  "fractional_positions": [[0.000, 0.000, 0.000], [0.500, 0.500, 0.500], [0.941, 0.941, 0.941], [0.059, 0.059, 0.059]]
}

=====

Run 2
{
  "formula": "BeGaCl2",
  "functional": "GGA-PBE",
  "state": "relaxed",
  "density_g_cm3": 3.0,
  "vol_a3_per_cell": 83,
  "lattice": [[-3.208, 3.241, 1.758], [-2.132, 3.207, -3.009], [-4.749, -0.436, -1.069]],
  "species": ["Be", "Ga", "Cl", "Cl"],
  "fractional_positions": [[0.000, 0.000, 0.000], [0.500, 0.500, 0.500], [0.250, 0.250, 0.250], [0.750, 0.750, 0.750]]
}

=====

Run 3
{
  "formula": "BeGaCl2",
  "functional": "GGA-PBE",
  "state": "relaxed",
  "density_g_cm3": 2.4,
  "vol_a3_per_cell": 103,
  "lattice": [[1.833, 0.000, 11.843], [-0.917, 1.588, 11.843], [-0.917, -1.588, 11.843]],
  "species": ["Be", "Ga", "Cl", "Cl"],
  "fractional_positions": [[0.500, 0.500, 0.500], [0.000, 0.000, 0.000], [0.869, 0.869, 0.869], [0.131, 0.131, 0.131]]
}

=====

Relative energies in meV per atom: run 1 221; run 2 818; run 3 0

=====

Run 1
{
  "formula": "BeGa2Cl",
  "functional": "GGA-PBE",
  "state": "relaxed",
  "density_g_cm3": 3.3,
  "vol_a3_per_cell": 187,
  "lattice": [[-1.045, -0.372, -5.511], [-4.214, -3.573, 1.040], [-6.390, 2.581, -1.830]],
  "species": ["Be", "Be", "Ga", "Ga", "Ga", "Ga", "Cl", "Cl"],
  "fractional_positions": [[0.500, 0.500, 0.000], [0.250, 0.750, 0.500], [0.543, 0.125, 0.250], [0.207, 0.625, 0.250], [0.375, 0.457, 0.750], [0.875, 0.793, 0.750], [0.000, 0.000, 0.000], [0.750, 0.250, 0.500]]
}

=====

Run 2
{
  "formula": "BeGa2Cl",
  "functional": "GGA-PBE",
  "state": "relaxed",
  "density_g_cm3": 4.0,
  "vol_a3_per_cell": 77,
  "lattice": [[0.000, 3.373, 3.373], [3.373, 0.000, 3.373], [3.373, 3.373, 0.000]],
  "species": ["Be", "Ga", "Ga", "Cl"],
  "fractional_positions": [[0.000, 0.000, 0.000], [0.250, 0.250, 0.250], [0.750, 0.750, 0.750], [0.500, 0.500, 0.500]]
}

=====

Relative energies in meV per atom: run 1 0; run 2 308